one | Computed, not measured: a relaxed Ce6Co2Pb crystal at the PBE level of DFT.

Lattice parameters (Å, degrees): 8.8036 8.8036 6.7130 111.68 111.68 78.00
With the nearest neighbours (Å) after each atom.
Fractional coordinates of all 18 atoms:
Ce  0.0222  0.8124  0.5220  1 Co 2.80, 2 Ce 2.81-3.05
Ce  0.0397  0.3319  0.0991  1 Co 2.24
Ce  0.1876  0.9778  0.9780  1 Co 2.80, 2 Ce 2.81-3.05
Ce  0.2724  0.4945  0.6840  2 Co 2.60-2.82, 1 Ce 2.88
Ce  0.3319  0.0397  0.5991  1 Co 2.24
Ce  0.4945  0.2724  0.1840  2 Co 2.60-2.82, 1 Ce 2.88
Ce  0.5055  0.7276  0.8160  2 Co 2.60-2.82, 1 Ce 2.88
Ce  0.6681  0.9603  0.4009  1 Co 2.24
Ce  0.7276  0.5055  0.3160  2 Co 2.60-2.82, 1 Ce 2.88
Ce  0.8124  0.0222  0.0220  1 Co 2.80, 2 Ce 2.81-3.05
Ce  0.9603  0.6681  0.9009  1 Co 2.24
Ce  0.9778  0.1876  0.4780  1 Co 2.80, 2 Ce 2.81-3.05
Co  0.1848  0.3580  0.9034  1 Ce 2.24
Co  0.3580  0.1848  0.4034  1 Ce 2.24
Co  0.6420  0.8152  0.5966  1 Ce 2.24
Co  0.8152  0.6420  0.0966  1 Ce 2.24
Pb  0.3417  0.6583  0.2500  2 Co 2.98, 4 Ce 3.31-3.32
Pb  0.6583  0.3417  0.7500  2 Co 2.98, 4 Ce 3.31-3.32

The density of states at the Fermi level comes out at 2.23 states/eV per atom. Its space-group type is C2/c, No. 15.

***

two | Computed, not measured: a relaxed Ce6Co2Pb crystal at the PBE level of DFT.

Lattice parameters (Å, degrees): 5.8653 5.8653 8.7826 91.26 91.26 45.04
With the nearest neighbours (Å) after each atom.
Fractional coordinates of all 9 atoms:
Ce  0.0859  0.0859  0.1788  3 Co 2.96-3.11, 2 Ce 2.98
Ce  0.2171  0.2171  0.6098  1 Co 2.48
Ce  0.4080  0.4080  0.1349  3 Co 2.73-2.81, 2 Ce 2.98
Ce  0.5920  0.5920  0.8651  3 Co 2.73-2.81, 2 Ce 2.98
Ce  0.7829  0.7829  0.3902  1 Co 2.48
Ce  0.9141  0.9141  0.8212  3 Co 2.96-3.11, 2 Ce 2.98
Co  0.2468  0.2468  0.8905  2 Ce 2.48-2.73
Co  0.7532  0.7532  0.1095  2 Ce 2.48-2.73
Pb  0.5000  0.5000  0.5000  8 Ce 3.24-3.38

The density of states at the Fermi level comes out at 2.17 states/eV per atom. Its space-group type is C2/m, No. 12.

***

Which one sits at the top of the stability order? two does.

***

one | Computed, not measured: a relaxed Ce2CoPd crystal at the PBE level of DFT.

Lattice parameters (Å, degrees): 3.5139 3.5139 26.1124 90.00 90.00 120.00
With the nearest neighbours (Å) after each atom.
Fractional coordinates of all 12 atoms:
Ce  0.0000  0.0000  0.1015  3 Co 2.65, 1 Pd 2.65
Ce  0.0000  0.0000  0.8985  3 Co 2.65, 1 Pd 2.65
Ce  0.3333  0.6667  0.5652  3 Co 2.65, 1 Pd 2.65
Ce  0.3333  0.6667  0.7682  3 Co 2.65, 1 Pd 2.65
Ce  0.6667  0.3333  0.2318  3 Co 2.65, 1 Pd 2.65
Ce  0.6667  0.3333  0.4348  3 Co 2.65, 1 Pd 2.65
Co  0.0000  0.0000  0.5000  6 Ce 2.65
Co  0.3333  0.6667  0.1667  6 Ce 2.65
Co  0.6667  0.3333  0.8333  6 Ce 2.65
Pd  0.0000  0.0000  0.0000  2 Ce 2.65
Pd  0.3333  0.6667  0.6667  2 Ce 2.65
Pd  0.6667  0.3333  0.3333  2 Ce 2.65

The density of states at the Fermi level comes out at 1.66 states/eV per atom. Its space-group type is R-3m, No. 166.

***

two | Computed, not measured: a relaxed Ce2CoPd crystal at the PBE level of DFT.

Lattice parameters (Å, degrees): 6.9533 6.9533 6.9533 90.00 90.00 90.00
With the nearest neighbours (Å) after each atom.
Fractional coordinates of all 16 atoms:
Ce  0.2500  0.2500  0.2500  4 Co 3.01, 4 Pd 3.01
Ce  0.2500  0.2500  0.7500  4 Co 3.01, 4 Pd 3.01
Ce  0.2500  0.7500  0.2500  4 Co 3.01, 4 Pd 3.01
Ce  0.2500  0.7500  0.7500  4 Co 3.01, 4 Pd 3.01
Ce  0.7500  0.2500  0.2500  4 Co 3.01, 4 Pd 3.01
Ce  0.7500  0.2500  0.7500  4 Co 3.01, 4 Pd 3.01
Ce  0.7500  0.7500  0.2500  4 Co 3.01, 4 Pd 3.01
Ce  0.7500  0.7500  0.7500  4 Pd 3.01, 4 Co 3.01
Co  0.0000  0.0000  0.0000  8 Ce 3.01
Co  0.0000  0.5000  0.5000  8 Ce 3.01
Co  0.5000  0.0000  0.5000  8 Ce 3.01
Co  0.5000  0.5000  0.0000  8 Ce 3.01
Pd  0.0000  0.0000  0.5000  8 Ce 3.01
Pd  0.0000  0.5000  0.0000  8 Ce 3.01
Pd  0.5000  0.0000  0.0000  8 Ce 3.01
Pd  0.5000  0.5000  0.5000  8 Ce 3.01

The density of states at the Fermi level comes out at 2.53 states/eV per atom. Its space-group type is Fm-3m, No. 225.

***

three | Computed, not measured: a relaxed Ce2CoPd crystal at the PBE level of DFT.

Lattice parameters (Å, degrees): 3.9023 3.9023 20.5590 90.00 90.00 120.00
With the nearest neighbours (Å) after each atom.
Fractional coordinates of all 12 atoms:
Ce  0.0000  0.0000  0.0000  3 Co 2.71, 3 Pd 2.98
Ce  0.0000  0.0000  0.1870  3 Co 2.71, 3 Pd 2.94
Ce  0.3333  0.6667  0.6667  3 Co 2.71, 3 Pd 2.98
Ce  0.3333  0.6667  0.8536  3 Co 2.71, 3 Pd 2.94
Ce  0.6667  0.3333  0.3333  3 Co 2.71, 3 Pd 2.98
Ce  0.6667  0.3333  0.5203  3 Co 2.71, 3 Pd 2.94
Co  0.0000  0.0000  0.5932  6 Ce 2.71
Co  0.3333  0.6667  0.2599  6 Ce 2.71
Co  0.6667  0.3333  0.9266  6 Ce 2.71
Pd  0.0000  0.0000  0.4281  6 Ce 2.94-2.98
Pd  0.3333  0.6667  0.0947  6 Ce 2.94-2.98
Pd  0.6667  0.3333  0.7614  6 Ce 2.94-2.98

The density of states at the Fermi level comes out at 1.56 states/eV per atom. Its space-group type is R3m, No. 160.

***

four | Computed, not measured: a relaxed Ce2CoPd crystal at the PBE level of DFT.

Lattice parameters (Å, degrees): 3.4975 3.4975 6.6873 90.00 90.00 90.00
With the nearest neighbours (Å) after each atom.
Fractional coordinates of all 4 atoms:
Ce  0.0000  0.0000  0.2168  4 Co 2.87, 1 Ce 2.90, 4 Pd 3.11
Ce  0.0000  0.0000  0.7832  4 Co 2.87, 1 Ce 2.90, 4 Pd 3.11
Co  0.5000  0.5000  0.0000  8 Ce 2.87
Pd  0.5000  0.5000  0.5000  8 Ce 3.11, 2 Co 3.34

The density of states at the Fermi level comes out at 1.93 states/eV per atom. Its space-group type is P4/mmm, No. 123.

***

Which one sits at the top of the stability order? four does.